[1]
Density functional theory data (GGA-PBE) for crystalline LaPrBi at its relaxed geometry.

Calculated values
Formation energy from the elements, meV/atom: -694
Energy, eV/atom: -5.2237
Calculated volume, Å³ per cell: 206.67
Space group: P4/nmm, No. 129

a = 4.7393 Å, b = 4.7393 Å, c = 9.2011 Å
α = 90.00°, β = 90.00°, γ = 90.00°
Atoms (fractional coordinates):
Pr 0.0000 0.0000 0.5000
Bi 0.5000 0.0000 0.7780
La 0.5000 0.0000 0.1462
La 0.0000 0.5000 0.8538
Pr 0.5000 0.5000 0.5000
Bi 0.0000 0.5000 0.2220

***

[2]
Density functional theory data (GGA-PBE) for crystalline La3Pr2Bi3 at its relaxed geometry.

Calculated values
Formation energy from the elements, meV/atom: -812
Energy, eV/atom: -5.3096
Calculated volume, Å³ per cell: 544.75
Space group: P6_3/mcm, No. 193

a = 6.7092 Å, b = 9.6828 Å, c = 9.6828 Å
α = 120.00°, β = 90.00°, γ = 90.00°
Each line ends with the local moment (μB).
Atoms (fractional coordinates):
La 0.7500 0.2507 0.0000  0.03
Bi 0.2500 0.3871 0.0000  -0.01
Pr 0.0000 0.6667 0.3333  0.13
Bi 0.2500 0.6129 0.6129  -0.01
La 0.2500 0.0000 0.7493  0.03
La 0.7500 0.7493 0.7493  0.03
La 0.2500 0.7493 0.0000  0.03
Bi 0.2500 0.0000 0.3871  -0.01
Pr 0.0000 0.3333 0.6667  0.13
Pr 0.5000 0.3333 0.6667  0.13
Bi 0.7500 0.3871 0.3871  -0.01
La 0.7500 0.0000 0.2507  0.03
Bi 0.7500 0.6129 0.0000  -0.01
Pr 0.5000 0.6667 0.3333  0.13
La 0.2500 0.2507 0.2507  0.03
Bi 0.7500 0.0000 0.6129  -0.01

***

[3]
Density functional theory data (GGA-PBE) for crystalline LaPrBi at its relaxed geometry.

Calculated values
Formation energy from the elements, meV/atom: -352
Energy, eV/atom: -4.8816
Calculated volume, Å³ per cell: 241.24
Space group: I4_1md, No. 109

a = 6.4220 Å, b = 6.4220 Å, c = 7.4053 Å
α = 115.70°, β = 115.70°, γ = 90.00°
Atoms (fractional coordinates):
Bi 0.0008 0.5008 0.0016
Bi 0.7508 0.7508 0.5016
La 0.4763 0.4763 0.9526
Pr 0.0229 0.0229 0.0458
Pr 0.2729 0.7729 0.5458
La 0.7263 0.2263 0.4526

***

[4]
Density functional theory data (GGA-PBE) for crystalline LaPrPu2Bi4 at its relaxed geometry.

Calculated values
Formation energy from the elements, meV/atom: -642
Energy, eV/atom: -7.3792
Calculated volume, Å³ per cell: 277.79
Space group: I4/mmm, No. 139

a = 6.5254 Å, b = 6.5254 Å, c = 7.9905 Å
α = 114.10°, β = 114.10°, γ = 90.00°
Each line ends with the local moment (μB).
Atoms (fractional coordinates):
Pr 0.4372 0.4372 0.0000  0.01
Pu 0.6871 0.1871 0.5000  -5.25
Bi 0.9373 0.4372 0.0000  0.09
Bi 0.6861 0.6861 0.4979  0.15
La 0.9372 0.9372 0.0000  0.03
Bi 0.1881 0.1881 0.5021  0.15
Pu 0.1871 0.6871 0.5000  -5.25
Bi 0.4372 0.9373 0.0000  0.09

***

[5]
Density functional theory data (GGA-PBE) for crystalline La2PrPuBi4 at its relaxed geometry.

Calculated values
Formation energy from the elements, meV/atom: -838
Energy, eV/atom: -6.3993
Calculated volume, Å³ per cell: 284.63
Space group: P2/m, No. 10

a = 4.6577 Å, b = 8.0530 Å, c = 8.0499 Å
α = 109.49°, β = 90.00°, γ = 90.00°
Each line ends with the local moment (μB).
Atoms (fractional coordinates):
Pr 0.0000 0.0000 0.0000  0.00
La 0.5000 0.0000 0.5000  0.04
Pu 0.5000 0.5000 0.0000  -5.29
La 0.0000 0.5000 0.5000  0.01
Bi 0.0000 0.7439 0.2422  0.09
Bi 0.5000 0.2519 0.2450  0.05
Bi 0.5000 0.7481 0.7550  0.05
Bi 0.0000 0.2561 0.7578  0.09

***

[6]
Density functional theory data (GGA-PBE) for crystalline LaPrBiS at its relaxed geometry.

Calculated values
Energy relative to the elements, uncorrected, kJ/mol of atoms: -123.36
Energy, eV/atom: -5.7074
Calculated volume, Å³ per cell: 266.46
Space group: R-3m, No. 166

a = 5.2268 Å, b = 5.2268 Å, c = 11.6597 Å
α = 77.05°, β = 77.05°, γ = 60.00°
Atoms (fractional coordinates):
S 0.7044 0.7044 0.8868
S 0.2956 0.2956 0.1132
La 0.6218 0.6218 0.1347
Pr 0.2057 0.2057 0.3829
Pr 0.7943 0.7943 0.6171
Bi 0.8955 0.8955 0.3136
Bi 0.1045 0.1045 0.6864
La 0.3782 0.3782 0.8653

***

[7]
Density functional theory data (GGA-PBE) for crystalline LaPr2SmBi4 at its relaxed geometry.

Calculated values
Formation energy from the elements, meV/atom: -973
Energy, eV/atom: -5.3147
Calculated volume, Å³ per cell: 282.17
Space group: P2/m, No. 10

a = 4.6411 Å, b = 8.0314 Å, c = 8.0287 Å
α = 70.54°, β = 90.00°, γ = 90.00°
Atoms (fractional coordinates):
Pr 0.0000 0.0000 0.0000
Bi 0.0000 0.2528 0.2458
Bi 0.5000 0.2502 0.7531
Bi 0.5000 0.7498 0.2469
La 0.0000 0.5000 0.5000
Sm 0.5000 0.5000 0.0000
Bi 0.0000 0.7472 0.7542
Pr 0.5000 0.0000 0.5000

***

[8]
Density functional theory data (GGA-PBE) for crystalline La2TbPrBi5 at its relaxed geometry.

Calculated values
Formation energy from the elements, meV/atom: -277
Energy, eV/atom: -4.5738
Calculated volume, Å³ per cell: 363.01
Space group: P4/mmm, No. 123

a = 5.4635 Å, b = 5.4635 Å, c = 12.1610 Å
α = 90.00°, β = 90.00°, γ = 90.00°
Atoms (fractional coordinates):
La 0.5000 0.5000 0.2776
Bi 0.5000 0.5000 0.0000
Tb 0.0000 0.0000 0.5000
La 0.5000 0.5000 0.7224
Bi 0.5000 0.0000 0.5000
Bi 0.0000 0.5000 0.5000
Bi 0.0000 0.0000 0.2502
Bi 0.0000 0.0000 0.7498
Pr 0.0000 0.0000 0.0000